Record 1
Material: KBaCeF6
Method: DFT, PBE
State: optimized geometry

Properties
- Crystal system: trigonal
- Formation energy from raw total energies: -3.64 eV/atom
- Space-group type: No. 163

abc: 6.5879 6.5879 10.4766
angles: 90.00 90.00 120.00
Each line ends with the local moment (μB).
Fractional positions:
1 F 0.9580 0.3175 0.1342  0.00
2 F 0.6825 0.6405 0.1342  0.00
3 F 0.6405 0.6825 0.6342  0.00
4 F 0.9580 0.6405 0.3658  0.00
5 F 0.3595 0.0420 0.1342  0.00
6 F 0.3175 0.3595 0.8658  0.00
7 F 0.3175 0.9580 0.6342  0.00
8 F 0.3595 0.3175 0.3658  0.00
9 F 0.6825 0.0420 0.3658  0.00
10 F 0.0420 0.6825 0.8658  0.00
11 F 0.6405 0.9580 0.8658  0.00
12 F 0.0420 0.3595 0.6342  0.00
13 Ce 0.3333 0.6667 0.7500  0.97
14 Ce 0.6667 0.3333 0.2500  0.97
15 K 0.3333 0.6667 0.2500  0.00
16 K 0.6667 0.3333 0.7500  0.00
17 Ba 0.0000 0.0000 0.5000  0.00
18 Ba 0.0000 0.0000 0.0000  0.00

---

Record 2
Material: Pr2Y2Er2Tm
Method: DFT, PBE
State: optimized geometry

Properties
- Crystal system: monoclinic
- Space-group type: No. 12
- Formation energy: 0.60 eV per formula unit

abc: 3.5167 6.1407 11.8310
angles: 72.05 90.00 106.64
Fractional positions:
1 Pr 0.3274 0.6549 0.0870
2 Pr 0.6726 0.3451 0.9130
3 Er 0.2294 0.4589 0.6328
4 Er 0.7706 0.5411 0.3672
5 Tm 0.0000 0.0000 0.5000
6 Y 0.4526 0.9051 0.7682
7 Y 0.5474 0.0949 0.2318

---

Record 3
Material: AcBeGaPt2
Method: DFT, PBE
State: optimized geometry

Properties
- Crystal system: tetragonal
- Space-group type: No. 119
- Formation energy: -4.11 eV per formula unit

abc: 4.2306 4.2306 6.2606
angles: 109.75 109.75 90.00
Fractional positions:
1 Pt 0.3701 0.3701 0.7402
2 Pt 0.6299 0.6299 0.2598
3 Ga 0.2500 0.7500 0.5000
4 Ac 0.0000 0.0000 0.0000
5 Be 0.7500 0.2500 0.5000

---

Record order is preserved below.
Calculated volume: 21.9; 33.1; 19.7 Å³/atom
Record order is preserved below.
Total energy: -5.887; -5.069; -5.411 eV per atom
Record order is preserved below.
Theoretical density: 3.63; 6.90; 11.74 g/cm3